# 1
Computed, not measured: SiTe2 after structural relaxation at the PBE-GGA level of DFT.

The structure in POSCAR format:
```
SiTe2
1.0
2.655 -4.599 0.000
2.655 4.599 0.000
0.000 0.000 6.111
Si Te
2 4
direct
0.667 0.333 0.750 Si
0.333 0.667 0.250 Si
0.000 0.000 0.500 Te
0.667 0.333 0.250 Te
0.000 0.000 0.000 Te
0.333 0.667 0.750 Te
```

N(E_F), states/eV/atom: 0.87
Uncorrected formation energy, meV/atom: 482



# 2
Computed, not measured: HfHgPd after structural relaxation at the PBE-GGA level of DFT.

The structure in POSCAR format:
```
HfHgPd
1.0
-0.120 -1.092 -3.304
-2.425 -2.346 0.860
-9.494 3.046 -4.338
Pd Hf Hg
2 2 2
direct
0.830 0.830 0.920 Pd
0.170 0.170 0.080 Pd
0.460 0.460 0.790 Hf
0.540 0.540 0.210 Hf
0.155 0.155 0.596 Hg
0.845 0.845 0.404 Hg
```

N(E_F), states/eV/atom: 0.47
Energy of formation, eV/atom: -0.36



# 3
Computed, not measured: MgZr2Ir after structural relaxation at the PBE-GGA level of DFT.

The structure in POSCAR format:
```
MgZr2Ir
1.0
-1.251 -4.143 -6.580
2.768 -6.465 3.544
-1.883 -5.940 -0.615
Ir Zr Mg
2 4 2
direct
0.000 0.000 0.000 Ir
0.750 0.250 0.500 Ir
0.070 0.625 0.250 Zr
0.680 0.125 0.250 Zr
0.875 0.930 0.750 Zr
0.375 0.320 0.750 Zr
0.250 0.750 0.500 Mg
0.500 0.500 0.000 Mg
```

N(E_F), states/eV/atom: 0.90
Energy of formation, eV/atom: -0.10



# 4
Computed, not measured: KFe3N after structural relaxation at the PBE-GGA level of DFT.

The structure in POSCAR format:
```
KFe3N
1.0
-2.003 0.444 -3.668
2.755 -2.601 -1.819
-2.462 -3.272 0.948
N Fe K
1 3 1
direct
0.500 0.500 0.500 N
0.000 0.500 0.000 Fe
0.000 0.000 0.500 Fe
0.500 0.000 0.000 Fe
0.000 0.000 0.000 K
```

N(E_F), states/eV/atom: 2.26
ΔE to the lowest computed polymorph, meV/atom: 3156
Uncorrected formation energy, meV/atom: 3915



# 5
Computed, not measured: Co4NiAs after structural relaxation at the PBE-GGA level of DFT.

The structure in POSCAR format:
```
Co4NiAs
1.0
4.378 -1.668 -0.598
0.978 -4.498 1.059
0.896 -3.097 -3.451
Co Ni As
4 1 1
direct
0.376 0.873 0.376 Co
0.376 0.376 0.376 Co
0.873 0.376 0.376 Co
0.376 0.376 0.873 Co
0.750 0.750 0.750 Ni
0.000 0.000 0.000 As
```

N(E_F), states/eV/atom: 1.69
Energy of formation, eV/atom: 0.32



# 6
Computed, not measured: NaCa3Bi4 after structural relaxation at the PBE-GGA level of DFT.

The structure in POSCAR format:
```
NaCa3Bi4
1.0
4.192 0.000 0.000
0.000 4.192 0.000
0.000 0.000 14.068
Bi Ca Na
4 3 1
direct
0.000 0.000 0.373 Bi
0.000 0.000 0.876 Bi
0.000 0.000 0.124 Bi
0.000 0.000 0.627 Bi
0.500 0.500 0.500 Ca
0.500 0.500 0.755 Ca
0.500 0.500 0.245 Ca
0.500 0.500 0.000 Na
```

N(E_F), states/eV/atom: 0.52
Energy of formation, eV/atom: -0.61



# 7
Computed, not measured: Ba2LiH after structural relaxation at the PBE-GGA level of DFT.

The structure in POSCAR format:
```
Ba2LiH
1.0
-3.440 0.162 -2.481
-2.375 -3.472 -0.565
-7.036 1.209 6.203
Li Ba H
1 2 1
direct
0.500 0.500 0.500 Li
0.727 0.727 0.820 Ba
0.273 0.273 0.180 Ba
0.000 0.000 0.000 H
```

N(E_F), states/eV/atom: 0.98
ΔE to the lowest computed polymorph, meV/atom: 57



# 8
Computed, not measured: La2AlNi16 after structural relaxation at the PBE-GGA level of DFT.

The structure in POSCAR format:
```
La2AlNi16
1.0
-4.761 1.126 4.046
3.528 0.475 5.257
0.490 6.330 0.054
Al Ni La
1 16 2
direct
0.911 0.911 0.911 Al
0.998 0.998 0.502 Ni
0.848 0.341 0.341 Ni
0.291 0.709 0.000 Ni
0.998 0.502 0.998 Ni
0.709 0.291 0.000 Ni
0.149 0.659 0.659 Ni
0.502 0.998 0.998 Ni
0.709 0.000 0.291 Ni
0.000 0.291 0.709 Ni
0.341 0.848 0.341 Ni
0.100 0.100 0.100 Ni
0.341 0.341 0.848 Ni
0.000 0.709 0.291 Ni
0.291 0.000 0.709 Ni
0.659 0.149 0.659 Ni
0.659 0.659 0.149 Ni
0.340 0.340 0.340 La
0.652 0.652 0.652 La
```

N(E_F), states/eV/atom: 1.29
Energy of formation, eV/atom: -0.24



# 9
Computed, not measured: NaTeS3 after structural relaxation at the PBE-GGA level of DFT.

The structure in POSCAR format:
```
NaTeS3
1.0
4.881 0.000 0.000
0.000 4.881 0.000
0.000 0.000 4.881
Na S Te
1 3 1
direct
0.000 0.000 0.000 Na
0.500 0.000 0.000 S
0.000 0.500 0.000 S
0.000 0.000 0.500 S
0.500 0.500 0.500 Te
```

N(E_F), states/eV/atom: 1.53
ΔE to the lowest computed polymorph, meV/atom: 1089
Uncorrected formation energy, meV/atom: 902



# 10
Computed, not measured: CaRe2SnTe after structural relaxation at the PBE-GGA level of DFT.

The structure in POSCAR format:
```
CaRe2SnTe
1.0
4.920 0.000 0.000
0.000 5.536 0.000
0.000 0.000 4.920
Te Ca Re Sn
1 1 2 1
direct
0.000 0.000 0.000 Te
0.000 0.500 0.000 Ca
0.500 0.000 0.000 Re
0.000 0.000 0.500 Re
0.500 0.500 0.500 Sn
```

N(E_F), states/eV/atom: 0.90
Uncorrected formation energy, meV/atom: 1472



# 11
Computed, not measured: Zn2MoAs after structural relaxation at the PBE-GGA level of DFT.

The structure in POSCAR format:
```
Zn2MoAs
1.0
4.725 0.000 0.000
0.000 4.725 0.000
0.000 0.000 2.865
Zn As Mo
2 1 1
direct
0.000 0.000 0.000 Zn
0.500 0.500 0.000 Zn
0.500 0.000 0.500 As
0.000 0.500 0.500 Mo
```

N(E_F), states/eV/atom: 0.75
Energy of formation, eV/atom: 0.37



# 12
Computed, not measured: CsNb2C2 after structural relaxation at the PBE-GGA level of DFT.

The structure in POSCAR format:
```
CsNb2C2
1.0
-0.466 -7.388 1.333
5.616 -1.230 -4.850
2.005 0.280 2.251
C Nb Cs
4 4 2
direct
0.617 0.883 0.500 C
0.117 0.617 0.500 C
0.883 0.383 0.500 C
0.383 0.117 0.500 C
0.884 0.616 0.000 Nb
0.384 0.884 0.000 Nb
0.616 0.116 0.000 Nb
0.116 0.384 0.000 Nb
0.000 0.000 0.000 Cs
0.500 0.500 0.000 Cs
```

N(E_F), states/eV/atom: 0.54
Energy of formation, eV/atom: 1.29
ΔE to the lowest computed polymorph, meV/atom: 949



Copy entry 6 word for word.
Computed, not measured: NaCa3Bi4 after structural relaxation at the PBE-GGA level of DFT.

The structure in POSCAR format:
```
NaCa3Bi4
1.0
4.192 0.000 0.000
0.000 4.192 0.000
0.000 0.000 14.068
Bi Ca Na
4 3 1
direct
0.000 0.000 0.373 Bi
0.000 0.000 0.876 Bi
0.000 0.000 0.124 Bi
0.000 0.000 0.627 Bi
0.500 0.500 0.500 Ca
0.500 0.500 0.755 Ca
0.500 0.500 0.245 Ca
0.500 0.500 0.000 Na
```

N(E_F), states/eV/atom: 0.52
Energy of formation, eV/atom: -0.61



- Which value of N(E_F) does entry 10 give?
  0.90 states/eV/atom



- What is the formula in the eighth record?
  La2AlNi16